#A
Computed, not measured: Na2BiAs after structural relaxation at the GGA-PBE level of DFT.

calculated density: 5.50 Mg/m³
Fermi-level density of states: 1.90 states/eV per cell
size of the total moment: 0.00 μB/f.u.

The structure in POSCAR format:
```
Na2BiAs
1.0
3.804 0.000 0.000
0.000 3.804 0.000
0.000 0.000 6.887
Na Bi As
2 1 1
Cartesian
0.000 0.000 4.940
0.000 0.000 1.948
1.902 1.902 0.000
1.902 1.902 3.444
```



#B
Computed, not measured: Na2BiAs after structural relaxation at the GGA-PBE level of DFT.

calculated density: 5.17 Mg/m³
Fermi-level density of states: 6.00 states/eV per cell
size of the total moment: 0.00 μB/f.u.

The structure in POSCAR format:
```
Na2BiAs
1.0
6.775 0.000 0.000
0.000 6.578 0.000
0.000 0.000 9.501
Bi Na As
4 8 4
Cartesian
3.050 3.235 7.126
0.338 6.524 7.126
3.725 3.343 2.375
6.438 0.054 2.375
5.362 1.919 5.034
4.801 5.208 5.034
1.975 1.370 0.283
4.801 5.208 9.217
1.975 1.370 4.467
1.413 4.658 4.467
5.362 1.919 9.217
1.413 4.658 0.283
3.235 0.337 7.126
3.540 6.241 2.375
6.623 2.952 2.375
0.152 3.625 7.126
```



#C
Computed, not measured: Na2BiAs after structural relaxation at the GGA-PBE level of DFT.

calculated density: 4.80 Mg/m³
Fermi-level density of states: 5.01 states/eV per cell
size of the total moment: 0.00 μB/f.u.

The structure in POSCAR format:
```
Na2BiAs
1.0
8.847 0.000 0.000
0.000 8.847 0.000
4.423 4.423 2.919
As Na Bi
2 4 2
Cartesian
4.423 4.423 0.000
4.423 8.847 1.460
6.635 7.093 2.189
11.059 10.601 2.189
2.669 6.635 0.730
6.178 2.212 0.730
0.000 0.000 0.000
8.847 4.423 1.460
```



Winner for stability: #B



#A
Computed, not measured: Na2BiAs after structural relaxation at the GGA-PBE level of DFT.

calculated density: 5.54 Mg/m³
Fermi-level density of states: 1.25 states/eV per cell
size of the total moment: 0.00 μB/f.u.

The structure in POSCAR format:
```
Na2BiAs
1.0
4.824 0.000 0.000
0.000 4.526 0.000
0.000 0.000 4.526
Na Bi As
2 1 1
Cartesian
0.000 2.263 0.000
0.000 0.000 2.263
2.412 2.263 2.263
2.412 0.000 0.000
```



#B
Computed, not measured: Na2BiAs after structural relaxation at the GGA-PBE level of DFT.

calculated density: 5.48 Mg/m³
Fermi-level density of states: 1.84 states/eV per cell
size of the total moment: 0.00 μB/f.u.

The structure in POSCAR format:
```
Na2BiAs
1.0
2.296 -4.082 2.284
-2.899 -3.870 1.942
-0.036 -4.655 -2.340
As Na Bi
1 2 1
Cartesian
0.000 0.000 0.000
-0.479 -9.455 1.414
-0.160 -3.152 0.471
-0.319 -6.304 0.943
```



Winner for stability: #A



#A
Computed, not measured: NaBiAs after structural relaxation at the GGA-PBE level of DFT.

calculated density: 5.56 Mg/m³
Fermi-level density of states: 0.78 states/eV per cell
size of the total moment: 0.00 μB/f.u.

The structure in POSCAR format:
```
NaBiAs
1.0
4.328 0.000 0.000
0.000 4.944 0.000
0.000 -2.472 4.282
Na As Bi
1 1 1
Cartesian
2.883 0.000 2.855
0.724 0.000 0.000
0.721 2.472 1.427
```



#B
Computed, not measured: NaBiAs after structural relaxation at the GGA-PBE level of DFT.

calculated density: 5.69 Mg/m³
Fermi-level density of states: 2.09 states/eV per cell
size of the total moment: 0.00 μB/f.u.

The structure in POSCAR format:
```
NaBiAs
1.0
-3.151 3.495 1.752
-4.957 -0.585 -0.552
-2.872 -0.987 3.999
Bi Na As
1 1 1
Cartesian
0.000 0.000 0.000
-5.490 0.962 2.600
-2.745 0.481 1.300
```



#C
Computed, not measured: NaBiAs after structural relaxation at the GGA-PBE level of DFT.

calculated density: 6.05 Mg/m³
Fermi-level density of states: 1.22 states/eV per cell
size of the total moment: 0.00 μB/f.u.

The structure in POSCAR format:
```
NaBiAs
1.0
-2.992 2.497 -0.551
-1.639 -2.523 -2.536
-0.397 -2.334 5.632
Na Bi As
1 1 1
Cartesian
-0.015 -0.013 0.023
-1.612 -1.396 2.431
-3.400 -0.952 0.091
```



Winner for stability: #C



#A
Computed, not measured: NaBiAs2 after structural relaxation at the GGA-PBE level of DFT.

calculated density: 5.87 Mg/m³
Fermi-level density of states: 1.96 states/eV per cell
size of the total moment: 0.00 μB/f.u.

The structure in POSCAR format:
```
NaBiAs2
1.0
-2.115 0.393 -3.362
-3.684 -1.519 -0.229
-4.880 6.372 1.446
Na Bi As
1 1 2
Cartesian
-5.340 2.623 -1.072
0.000 0.000 0.000
-2.606 1.165 -0.593
-8.073 4.081 -1.551
```



#B
Computed, not measured: NaBiAs2 after structural relaxation at the GGA-PBE level of DFT.

calculated density: 4.69 Mg/m³
Fermi-level density of states: 0.01 states/eV per cell
size of the total moment: 0.00 μB/f.u.

The structure in POSCAR format:
```
NaBiAs2
1.0
-3.593 0.045 -6.098
-3.685 -5.654 2.130
-7.345 0.442 0.223
Na Bi As
2 2 4
Cartesian
-7.335 -4.009 0.185
-3.639 -2.805 -1.984
-7.288 -1.159 -3.929
0.000 0.000 0.000
-8.134 -1.612 -1.380
-4.644 -0.567 -3.661
-11.981 -4.737 -3.244
-4.487 -3.419 0.797
```



Winner for stability: #A



#A
Computed, not measured: Na8BiAs2 after structural relaxation at the GGA-PBE level of DFT.

calculated density: 3.10 Mg/m³
Fermi-level density of states: 6.58 states/eV per cell
size of the total moment: 0.00 μB/f.u.

The structure in POSCAR format:
```
Na8BiAs2
1.0
-0.937 -4.388 -1.816
6.353 -2.971 3.905
-7.037 2.164 4.852
Na As Bi
8 2 1
Cartesian
2.694 -4.828 3.827
-1.420 -0.498 1.936
4.405 -2.061 2.708
-1.521 -1.674 4.832
-6.026 -3.135 4.233
-0.099 -3.521 2.109
-0.201 -4.698 5.005
-4.315 -0.367 3.114
1.576 -2.046 4.131
-3.197 -3.150 2.810
-0.468 -2.194 -0.908
```



#B
Computed, not measured: Na8BiAs2 after structural relaxation at the GGA-PBE level of DFT.

calculated density: 3.00 Mg/m³
Fermi-level density of states: 9.47 states/eV per cell
size of the total moment: 0.00 μB/f.u.

The structure in POSCAR format:
```
Na8BiAs2
1.0
-1.048 -4.946 1.199
7.057 -1.428 -0.044
-2.590 4.986 7.230
Na Bi As
8 1 2
Cartesian
4.915 -1.286 2.601
-1.273 0.924 7.347
1.075 2.858 6.783
-2.283 -1.933 5.219
2.769 -0.190 5.646
5.538 -4.414 1.726
1.640 -0.732 2.176
0.945 -2.692 4.756
4.291 2.462 6.698
0.019 0.235 4.703
2.883 -3.559 2.652
```



Winner for stability: #A